Entry 1:
# Li3MnPt4 GGA-PBE relaxed
data_Li3MnPt4
_chemical_formula_sum 'Li6 Mn2 Pt8'
_symmetry_space_group_name_H-M 'I 4/m m m'
_symmetry_Int_Tables_number 139
_symmetry_space_group_name_Hall '-I 4 2'
_cell_length_a 3.9635
_cell_length_b 3.9635
_cell_length_c 14.1851
_cell_angle_alpha 90.00
_cell_angle_beta 90.00
_cell_angle_gamma 90.00
loop_
_atom_site_label
_atom_site_type_symbol
_atom_site_fract_x
_atom_site_fract_y
_atom_site_fract_z
Li1 Li 0.0000 0.0000 0.0000
Li2 Li 0.0000 0.0000 0.2474
Mn1 Mn 0.0000 0.0000 0.5000
Pt1 Pt 0.0000 0.5000 0.1235
# **Crystal system**: tetragonal

=====

Entry 2:
# LiMn3Pt GGA-PBE relaxed
data_LiMn3Pt
_chemical_formula_sum 'Li1 Mn3 Pt1'
_symmetry_space_group_name_H-M 'P m -3 m'
_symmetry_Int_Tables_number 221
_symmetry_space_group_name_Hall '-P 4 2 3'
_cell_length_a 4.9363
_cell_length_b 4.9363
_cell_length_c 4.9363
_cell_angle_alpha 90.00
_cell_angle_beta 90.00
_cell_angle_gamma 90.00
loop_
_atom_site_label
_atom_site_type_symbol
_atom_site_fract_x
_atom_site_fract_y
_atom_site_fract_z
Li1 Li 0.0000 0.0000 0.0000
Mn1 Mn 0.0000 0.5000 0.5000
Pt1 Pt 0.5000 0.5000 0.5000
# **Relative energy among the computed polymorphs**: 0.0000 eV per atom
# **Crystal system**: cubic

=====

Entry 3:
# LiMn2Pt3 GGA-PBE relaxed
data_LiMn2Pt3
_chemical_formula_sum 'Li1 Mn2 Pt3'
_symmetry_space_group_name_H-M 'P 4/m m m'
_symmetry_Int_Tables_number 123
_symmetry_space_group_name_Hall '-P 4 2'
_cell_length_a 2.9294
_cell_length_b 2.9294
_cell_length_c 10.0777
_cell_angle_alpha 90.00
_cell_angle_beta 90.00
_cell_angle_gamma 90.00
loop_
_atom_site_label
_atom_site_type_symbol
_atom_site_fract_x
_atom_site_fract_y
_atom_site_fract_z
Li1 Li 0.0000 0.0000 0.0000
Mn1 Mn 0.0000 0.0000 0.3247
Pt1 Pt 0.5000 0.5000 0.1571
Pt2 Pt 0.5000 0.5000 0.5000
# **Crystal system**: tetragonal

=====

| no. | energy of formation (eV/atom) | total moment (μB per cell) | total DFT energy (no corrections) (eV per cell) |
| --- | --- | --- | --- |
| 1 | -0.51 | 8.00 | -86.35 |
| 2 | 0.62 | 13.46 | -32.37 |
| 3 | -0.43 | 8.78 | -40.97 |